No. 1
ErHf2O | GGA-PBE | optimized geometry

Geometry as CIF:
```
data_ErHf2O
_chemical_formula_sum 'Er3 Hf6 O3'
_space_group_name_H-M_alt 'R -3 m'
_space_group_IT_number 166
_space_group_name_Hall '-R 3 2"'
_cell_length_a 3.2774
_cell_length_b 3.2774
_cell_length_c 25.7822
_cell_angle_alpha 90.00
_cell_angle_beta 90.00
_cell_angle_gamma 120.00
loop_
_atom_site_label
_atom_site_type_symbol
_atom_site_fract_x
_atom_site_fract_y
_atom_site_fract_z
Er1 Er 0.0000 0.0000 0.0000
Hf1 Hf 0.0000 0.0000 0.1195
O1 O 0.0000 0.0000 0.5000
```

No. 2
Er4Hf6O19 | GGA-PBE | optimized geometry

Geometry as CIF:
```
data_Er4Hf6O19
_chemical_formula_sum 'Er8 Hf12 O38'
_space_group_name_H-M_alt 'I 2 3'
_space_group_IT_number 197
_space_group_name_Hall 'I 2 2 3'
_cell_length_a 9.294
_cell_length_b 9.294
_cell_length_c 9.294
_cell_angle_alpha 90.00
_cell_angle_beta 90.00
_cell_angle_gamma 90.00
loop_
_atom_site_label
_atom_site_type_symbol
_atom_site_fract_x
_atom_site_fract_y
_atom_site_fract_z
Er1 Er 0.145 0.145 0.855
Hf1 Hf 0.000 0.328 0.500
O1 O 0.000 0.000 0.000
O2 O 0.000 0.000 0.355
O3 O 0.049 0.310 0.717
```

No. 3
Er2HfO | GGA-PBE | optimized geometry

Geometry as CIF:
```
data_Er2HfO
_chemical_formula_sum 'Er6 Hf3 O3'
_space_group_name_H-M_alt 'R -3 m'
_space_group_IT_number 166
_space_group_name_Hall '-R 3 2"'
_cell_length_a 3.2862
_cell_length_b 3.2862
_cell_length_c 27.0354
_cell_angle_alpha 90.00
_cell_angle_beta 90.00
_cell_angle_gamma 120.00
loop_
_atom_site_label
_atom_site_type_symbol
_atom_site_fract_x
_atom_site_fract_y
_atom_site_fract_z
Er1 Er 0.0000 0.0000 0.1154
Hf1 Hf 0.0000 0.0000 0.0000
O1 O 0.0000 0.0000 0.5000
```

| no. | M_tot (Bohr magnetons per cell) | ΔE_f (raw) (kJ/mol of formula units) |
| --- | --- | --- |
| 1 | 0.00 | -322 |
| 2 | 4.52 | -9112 |
| 3 | 0.00 | -402 |